# 1
An optimized crystal structure of TaBeCuSb, computed with PBE.

Structure (POSCAR):
```
TaBeCuSb
1.0
0.000 3.163 3.163
3.163 0.000 3.163
3.163 3.163 0.000
Ta Be Cu Sb
1 1 1 1
direct
0.000 0.000 0.000 Ta
0.250 0.250 0.250 Be
0.750 0.750 0.750 Cu
0.500 0.500 0.500 Sb
```

## Properties
SG ... F-43m (216)
M_tot ... 0.7 Bohr magnetons per cell
E_tot ... -20.77 eV/cell

# 2
An optimized crystal structure of TmSnTe3Au, computed with PBE.

Structure (POSCAR):
```
TmSnTe3Au
1.0
10.454 0.000 0.000
0.000 4.399 0.000
0.000 0.000 16.665
Tm Sn Te Au
4 4 12 4
direct
0.195 0.250 0.036 Tm
0.305 0.750 0.536 Tm
0.695 0.250 0.464 Tm
0.805 0.750 0.964 Tm
0.181 0.750 0.280 Sn
0.319 0.250 0.780 Sn
0.681 0.750 0.220 Sn
0.819 0.250 0.720 Sn
0.027 0.750 0.124 Te
0.140 0.250 0.469 Te
0.172 0.750 0.699 Te
0.328 0.250 0.199 Te
0.360 0.750 0.969 Te
0.473 0.250 0.624 Te
0.527 0.750 0.376 Te
0.640 0.250 0.031 Te
0.672 0.750 0.801 Te
0.828 0.250 0.301 Te
0.860 0.750 0.531 Te
0.973 0.250 0.876 Te
0.119 0.750 0.911 Au
0.381 0.250 0.411 Au
0.619 0.750 0.589 Au
0.881 0.250 0.089 Au
```

## Properties
SG ... Pnma (62)
M_tot ... 0.0 Bohr magnetons per cell
E_tot ... -99.32 eV/cell

# 3
An optimized crystal structure of NaAlOs, computed with PBE.

Structure (POSCAR):
```
NaAlOs
1.0
7.899 0.000 0.000
-3.950 6.841 0.000
0.000 0.000 2.624
Na Al Os
3 3 3
direct
0.000 0.316 0.000 Na
0.316 0.000 0.000 Na
0.684 0.684 0.000 Na
0.000 0.000 0.500 Al
0.333 0.667 0.000 Al
0.667 0.333 0.000 Al
0.000 0.649 0.500 Os
0.351 0.351 0.500 Os
0.649 0.000 0.500 Os
```

## Properties
SG ... P-62m (189)
M_tot ... 0.0 Bohr magnetons per cell
E_tot ... -44.88 eV/cell

# 4
An optimized crystal structure of ScCdCoB, computed with PBE.

Structure (POSCAR):
```
ScCdCoB
1.0
0.000 3.041 3.041
3.041 0.000 3.041
3.041 3.041 0.000
Sc Cd Co B
1 1 1 1
direct
0.000 0.000 0.000 Sc
0.250 0.250 0.250 Cd
0.750 0.750 0.750 Co
0.500 0.500 0.500 B
```

## Properties
SG ... F-43m (216)
M_tot ... 0.0 Bohr magnetons per cell
E_tot ... -18.86 eV/cell

# 5
An optimized crystal structure of GdCuSnS3, computed with PBE.

Structure (POSCAR):
```
GdCuSnS3
1.0
10.946 0.000 0.000
0.000 4.066 0.000
0.000 0.000 11.205
Gd Cu Sn S
4 4 4 12
direct
0.014 0.250 0.180 Gd
0.486 0.750 0.680 Gd
0.514 0.250 0.320 Gd
0.986 0.750 0.820 Gd
0.245 0.750 0.295 Cu
0.255 0.250 0.795 Cu
0.745 0.750 0.205 Cu
0.755 0.250 0.705 Cu
0.175 0.250 0.511 Sn
0.325 0.750 0.011 Sn
0.675 0.250 0.989 Sn
0.825 0.750 0.489 Sn
0.043 0.750 0.359 S
0.103 0.250 0.939 S
0.225 0.750 0.691 S
0.275 0.250 0.191 S
0.397 0.750 0.439 S
0.457 0.250 0.859 S
0.543 0.750 0.141 S
0.603 0.250 0.561 S
0.725 0.750 0.809 S
0.775 0.250 0.309 S
0.897 0.750 0.061 S
0.957 0.250 0.641 S
```

## Properties
SG ... Pnma (62)
M_tot ... 0.0 Bohr magnetons per cell
E_tot ... -123.83 eV/cell

# 6
An optimized crystal structure of NbZnAs2, computed with PBE.

Structure (POSCAR):
```
NbZnAs2
1.0
0.000 3.273 3.273
3.273 0.000 3.273
3.273 3.273 0.000
Nb Zn As
1 1 2
direct
0.000 0.000 0.000 Nb
0.250 0.250 0.250 Zn
0.500 0.500 0.500 As
0.750 0.750 0.750 As
```

## Properties
SG ... F-43m (216)
M_tot ... 0.4 Bohr magnetons per cell
E_tot ... -19.21 eV/cell

# 7
An optimized crystal structure of NaErNiTe3, computed with PBE.

Structure (POSCAR):
```
NaErNiTe3
1.0
8.856 0.000 0.000
0.000 4.167 0.000
-3.296 0.000 9.645
Na Er Ni Te
2 2 2 6
direct
0.227 0.250 0.265 Na
0.773 0.750 0.735 Na
0.317 0.750 0.850 Er
0.683 0.250 0.150 Er
0.095 0.250 0.603 Ni
0.905 0.750 0.397 Ni
0.066 0.250 0.846 Te
0.203 0.750 0.525 Te
0.437 0.750 0.164 Te
0.563 0.250 0.836 Te
0.797 0.250 0.475 Te
0.934 0.750 0.154 Te
```

## Properties
SG ... P2_1/m (11)
M_tot ... 0.0 Bohr magnetons per cell
E_tot ... -51.67 eV/cell

# 8
An optimized crystal structure of AgGeAs2, computed with PBE.

Structure (POSCAR):
```
AgGeAs2
1.0
0.000 3.379 3.379
3.379 0.000 3.379
3.379 3.379 0.000
Ag Ge As
1 1 2
direct
0.000 0.000 0.000 Ag
0.750 0.750 0.750 Ge
0.250 0.250 0.250 As
0.500 0.500 0.500 As
```

## Properties
SG ... F-43m (216)
E_tot ... -15.29 eV/cell

# 9
An optimized crystal structure of NaCd2Ag2, computed with PBE.

Structure (POSCAR):
```
NaCd2Ag2
1.0
8.351 0.000 0.000
0.000 8.351 0.000
0.000 0.000 3.084
Na Cd Ag
2 4 4
direct
0.000 0.000 0.000 Na
0.500 0.500 0.000 Na
0.128 0.372 0.000 Cd
0.372 0.872 0.000 Cd
0.628 0.128 0.000 Cd
0.872 0.628 0.000 Cd
0.171 0.671 0.500 Ag
0.329 0.171 0.500 Ag
0.671 0.829 0.500 Ag
0.829 0.329 0.500 Ag
```

## Properties
SG ... P4/mbm (127)
E_tot ... -18.48 eV/cell

# 10
An optimized crystal structure of RbCdTc, computed with PBE.

Structure (POSCAR):
```
RbCdTc
1.0
0.000 3.673 3.673
3.673 0.000 3.673
3.673 3.673 0.000
Rb Cd Tc
1 1 1
direct
0.000 0.000 0.000 Rb
0.500 0.500 0.500 Cd
0.250 0.250 0.250 Tc
```

## Properties
SG ... F-43m (216)
M_tot ... 3.3 Bohr magnetons per cell
E_tot ... -7.76 eV/cell

# 11
An optimized crystal structure of Sr2In4PdAu, computed with PBE.

Structure (POSCAR):
```
Sr2In4PdAu
1.0
8.007 0.000 0.000
0.000 2.301 5.573
0.000 -2.301 5.573
Sr In Pd Au
2 4 1 1
direct
0.000 0.000 0.000 Sr
0.500 0.126 0.126 Sr
0.201 0.711 0.711 In
0.308 0.417 0.417 In
0.692 0.417 0.417 In
0.799 0.711 0.711 In
0.500 0.845 0.845 Pd
0.000 0.285 0.285 Au
```

## Properties
SG ... Amm2 (38)
E_tot ... -27.30 eV/cell

# 12
An optimized crystal structure of NdGdSn2Ir4, computed with PBE.

Structure (POSCAR):
```
NdGdSn2Ir4
1.0
4.542 0.000 0.000
-2.271 3.933 0.000
0.000 0.000 9.151
Nd Gd Sn Ir
1 1 2 4
direct
0.000 0.000 0.000 Nd
0.667 0.333 0.500 Gd
0.333 0.667 0.253 Sn
0.333 0.667 0.747 Sn
0.000 0.000 0.351 Ir
0.000 0.000 0.649 Ir
0.667 0.333 0.158 Ir
0.667 0.333 0.842 Ir
```

## Properties
SG ... P-6m2 (187)
M_tot ... 0.0 Bohr magnetons per cell
E_tot ... -56.81 eV/cell